An optimized crystal structure of BaSr2UO6. Source: Alexandria via LeMat-Bulk, functional PBE-GGA.

Output
As for the energy above the lowest structure with this stoichiometry: 66 meV/atom. The value obtained for the theoretical density is 5.95 g/cm3.

Unit cell a=6.256 b=6.304 c=6.286 alpha=120.09 beta=117.85 gamma=90.00
Atoms (fractional coordinates):
Ba: 0.500 0.000 0.000
Sr: 0.209 0.248 0.495
Sr: 0.791 0.752 0.505
U: 0.000 0.500 0.000
O: 0.349 0.701 0.402
O: 0.130 0.185 0.829
O: 0.870 0.355 0.171
O: 0.130 0.645 0.829
O: 0.870 0.815 0.171
O: 0.651 0.299 0.598



An optimized crystal structure of PaCdBi2N. Source: Alexandria via LeMat-Bulk, functional PBE-GGA.

Output
The value obtained for the calculated total energy is -0.2179 Ha/atom. The value obtained for the theoretical density is 9.58 g/cm3.

Unit cell a=3.932 b=3.932 c=17.390 alpha=90.00 beta=90.00 gamma=90.00
Atoms (fractional coordinates):
Pa: 0.500 0.000 0.567
Pa: 0.000 0.500 0.433
Cd: 0.500 0.000 0.152
Cd: 0.000 0.500 0.848
Bi: 0.000 0.500 0.680
Bi: 0.000 0.500 0.065
Bi: 0.500 0.000 0.935
Bi: 0.500 0.000 0.320
N: 0.000 0.000 0.500
N: 0.500 0.500 0.500



An optimized crystal structure of MnV4. Source: Alexandria via LeMat-Bulk, functional PBE-GGA.

Output
As for the energy above the lowest structure with this stoichiometry: 0 meV/atom. The calculation puts the formation energy at 0.158 eV/atom. The value obtained for the theoretical density is 6.39 g/cm3.

Unit cell a=4.264 b=4.557 c=7.696 alpha=102.44 beta=101.00 gamma=106.92
Atoms (fractional coordinates):
Mn: 0.809 0.059 0.118
Mn: 0.191 0.941 0.882
V: 0.712 0.951 0.398
V: 0.186 0.447 0.398
V: 0.488 0.605 0.840
V: 0.851 0.235 0.840
V: 0.512 0.395 0.160
V: 0.149 0.765 0.160
V: 0.814 0.553 0.602
V: 0.288 0.049 0.602



An optimized crystal structure of Er3Co2Si4. Source: Alexandria via LeMat-Bulk, functional PBE-GGA.

Output
As for the energy above the lowest structure with this stoichiometry: 57 meV/atom. The value obtained for the theoretical density is 7.50 g/cm3.

Unit cell a=3.909 b=5.647 c=7.975 alpha=100.59 beta=90.00 gamma=110.25
Atoms (fractional coordinates):
Er: 0.666 0.333 0.659
Er: 0.000 0.000 0.000
Er: 0.334 0.667 0.341
Co: 0.607 0.214 0.277
Co: 0.393 0.786 0.723
Si: 0.718 0.436 0.067
Si: 0.282 0.564 0.933
Si: 0.944 0.889 0.620
Si: 0.056 0.111 0.380



An optimized crystal structure of Tb11Hg9Au4. Source: Alexandria via LeMat-Bulk, functional PBE-GGA.

Output
The calculation puts the formation energy at -0.601 eV/atom. The value obtained for the theoretical density is 11.95 g/cm3.

Unit cell a=3.718 b=13.250 c=13.250 alpha=112.49 beta=90.00 gamma=90.00
Atoms (fractional coordinates):
Tb: 0.000 0.586 0.929
Tb: 0.000 0.414 0.071
Tb: 0.000 0.929 0.586
Tb: 0.000 0.071 0.414
Tb: 0.000 0.636 0.364
Tb: 0.000 0.364 0.636
Tb: 0.000 0.833 0.167
Tb: 0.000 0.167 0.833
Tb: 0.000 0.000 0.000
Tb: 0.000 0.711 0.711
Tb: 0.000 0.289 0.289
Hg: 0.500 0.632 0.151
Hg: 0.500 0.368 0.849
Hg: 0.500 0.151 0.632
Hg: 0.500 0.849 0.368
Hg: 0.500 0.790 0.942
Hg: 0.500 0.210 0.058
Hg: 0.500 0.942 0.790
Hg: 0.500 0.058 0.210
Hg: 0.500 0.500 0.500
Au: 0.500 0.551 0.748
Au: 0.500 0.449 0.252
Au: 0.500 0.748 0.551
Au: 0.500 0.252 0.449



An optimized crystal structure of TbYZn3. Source: Alexandria via LeMat-Bulk, functional PBE-GGA.

Output
The calculation puts the formation energy at -0.347 eV/atom. The value obtained for the theoretical density is 6.80 g/cm3.

Unit cell a=3.594 b=4.472 c=13.605 alpha=90.00 beta=97.59 gamma=90.00
Atoms (fractional coordinates):
Tb: 0.209 0.750 0.418
Tb: 0.791 0.250 0.582
Y: 0.928 0.750 0.856
Y: 0.072 0.250 0.144
Zn: 0.618 0.750 0.235
Zn: 0.382 0.250 0.765
Zn: 0.523 0.750 0.046
Zn: 0.477 0.250 0.954
Zn: 0.670 0.250 0.340
Zn: 0.330 0.750 0.660